A plane-wave DFT calculation with GGA-PBE was carried out for a geometry-optimized PmScSbPt structure.

Summary:
Energy (eV per cell): -24.50
Total moment (μB/cell): 0.70

```
PmScSbPt
1.0
5.092 0.000 0.000
2.546 4.409 0.000
2.546 1.470 4.157
Pt Pm Sb Sc
1 1 1 1
Direct
0.750 0.750 0.750
0.500 0.500 0.500
0.250 0.250 0.250
0.000 0.000 0.000
```

=====

A plane-wave DFT calculation with GGA-PBE was carried out for a geometry-optimized Er4Zr3N8 structure.

Summary:
Energy (eV per cell): -132.52
Total moment (μB/cell): 0.00

```
Er4Zr3N8
1.0
6.685 -0.114 -0.163
-3.277 5.819 0.108
-3.277 -1.919 5.495
N Zr Er
8 3 4
Direct
0.000 0.757 0.243
0.500 0.254 0.746
0.491 0.251 0.251
0.500 0.746 0.254
0.509 0.749 0.749
0.020 0.250 0.250
0.980 0.750 0.750
0.000 0.243 0.757
0.500 0.000 0.500
0.500 0.500 0.000
0.500 0.500 0.500
0.000 0.500 0.000
0.000 0.000 0.000
0.000 0.000 0.500
0.500 0.000 0.000
```

=====

A plane-wave DFT calculation with GGA-PBE was carried out for a geometry-optimized Ba6HgPt2Br3 structure.

Summary:
Energy (eV per cell): -43.28
Total moment (μB/cell): 0.00

```
Ba6HgPt2Br3
1.0
-0.968 4.377 1.182
-9.220 -2.773 2.721
7.028 -3.044 7.930
Ba Pt Br Hg
6 2 3 1
Direct
0.323 0.441 0.645
0.677 0.559 0.355
0.012 0.251 0.024
0.334 0.888 0.667
0.666 0.112 0.333
0.988 0.749 0.976
0.833 0.668 0.666
0.167 0.332 0.334
0.834 0.172 0.668
0.166 0.828 0.332
0.500 0.500 0.000
0.500 0.000 0.000
```

=====

A plane-wave DFT calculation with GGA-PBE was carried out for a geometry-optimized NaCa2Co structure.

Summary:
Energy (eV per cell): -20.81
Energy relative to the lowest polymorph listed for this composition (eV/atom): 0.141
Total moment (μB/cell): 0.33

```
NaCa2Co
1.0
8.331 0.000 0.000
0.000 8.331 0.000
4.166 4.166 3.397
Ca Co Na
4 2 2
Direct
0.875 0.951 0.750
0.375 0.299 0.750
0.049 0.625 0.250
0.701 0.125 0.250
0.000 0.000 0.000
0.750 0.250 0.500
0.500 0.500 0.000
0.250 0.750 0.500
```

=====

A plane-wave DFT calculation with GGA-PBE was carried out for a geometry-optimized Sm2InS2O2 structure.

Summary:
Energy (eV per cell): -45.08
Total moment (μB/cell): 0.00

```
Sm2InS2O2
1.0
-2.375 1.345 2.490
-5.034 -4.765 0.514
0.397 -3.993 5.277
Sm O In S
2 2 1 2
Direct
0.832 0.594 0.741
0.168 0.406 0.259
0.214 0.675 0.897
0.786 0.325 0.103
0.000 0.000 0.000
0.466 0.744 0.324
0.534 0.256 0.676
```

=====

A plane-wave DFT calculation with GGA-PBE was carried out for a geometry-optimized SrSiW structure.

Summary:
Energy (eV per cell): -17.19
Total moment (μB/cell): 1.64

```
SrSiW
1.0
-4.207 1.570 1.143
-2.727 -2.501 2.790
-0.839 1.443 4.323
Si Sr W
1 1 1
Direct
0.250 0.250 0.250
0.000 0.000 0.000
0.500 0.500 0.500
```

=====

A plane-wave DFT calculation with GGA-PBE was carried out for a geometry-optimized TbPd structure.

Summary:
Energy (eV per cell): -11.30
Total moment (μB/cell): 0.00

```
TbPd
1.0
4.094 0.000 0.000
2.047 3.546 0.000
2.047 1.182 3.343
Tb Pd
1 1
Direct
0.500 0.500 0.500
0.000 0.000 0.000
```

=====

A plane-wave DFT calculation with GGA-PBE was carried out for a geometry-optimized Dy7Ho4Tl structure.

Summary:
Energy (eV per cell): -53.17
Total moment (μB/cell): 0.00

```
Dy7Ho4Tl
1.0
-1.287 -3.269 0.442
1.746 1.588 2.641
-29.266 13.077 11.491
Dy Ho Tl
7 4 1
Direct
0.333 0.667 0.422
0.000 0.000 0.253
0.333 0.667 0.169
0.000 0.000 0.000
0.000 0.000 0.747
0.667 0.333 0.831
0.667 0.333 0.578
0.333 0.667 0.662
0.333 0.667 0.916
0.667 0.333 0.338
0.667 0.333 0.084
0.000 0.000 0.500
```

=====

A plane-wave DFT calculation with GGA-PBE was carried out for a geometry-optimized Zn2CoBr structure.

Summary:
Energy (eV per cell): -9.90
Energy relative to the lowest polymorph listed for this composition (eV/atom): 0.262
Total moment (μB/cell): 1.80

```
Zn2CoBr
1.0
6.138 0.020 0.059
-2.234 4.272 -0.026
1.671 0.886 2.612
Co Br Zn
1 1 2
Direct
0.500 0.500 0.000
0.000 0.500 0.500
0.000 0.000 0.000
0.500 0.000 0.500
```

=====

A plane-wave DFT calculation with GGA-PBE was carried out for a geometry-optimized Er5Se4 structure.

Summary:
Energy (eV per cell): -46.89
Total moment (μB/cell): 0.00

```
Er5Se4
1.0
-0.784 -3.030 1.956
7.117 -3.278 1.256
0.314 2.524 7.517
Er Se
5 4
Direct
0.000 0.691 0.309
0.000 0.309 0.691
0.309 0.691 0.691
0.000 0.000 0.000
0.691 0.309 0.309
0.654 0.000 0.692
0.654 0.692 0.000
0.346 0.308 0.000
0.346 0.000 0.308
```

=====

A plane-wave DFT calculation with GGA-PBE was carried out for a geometry-optimized Na2Al2Ag structure.

Summary:
Energy (eV per cell): -25.01
Energy relative to the lowest polymorph listed for this composition (eV/atom): 0.000
Total moment (μB/cell): 0.00

```
Na2Al2Ag
1.0
-5.411 -3.539 -1.922
4.027 -4.798 -2.501
-0.043 -2.441 4.614
Na Ag Al
4 2 4
Direct
0.175 0.675 0.500
0.825 0.325 0.500
0.675 0.825 0.500
0.325 0.175 0.500
0.500 0.500 0.000
0.000 0.000 0.000
0.364 0.864 0.000
0.864 0.636 0.000
0.136 0.364 0.000
0.636 0.136 0.000
```